This record from the Alexandria database describes KNiAsO4 at its PBEsol-relaxed geometry. The functional is SCAN.

space group: No. 148
density of states at the Fermi level: 0.000 states/eV per atom
total moment: 0.279 μB/atom
E_tot: -11.59 eV per atom

Lattice parameters (Å, degrees): 9.9257 9.9257 9.9257 28.99 28.99 28.99
Closest atoms and distances in Å follow each position.
Positions (direct):
K 0.2113 0.2113 0.2113  7 O 2.62-2.87
K 0.7887 0.7887 0.7887  7 O 2.62-2.87
Ni 0.3345 0.3345 0.3345  6 O 2.03-2.04
Ni 0.6655 0.6655 0.6655  6 O 2.03-2.04
As 0.0601 0.0601 0.0601  4 O 1.69-1.74
As 0.9399 0.9399 0.9399  4 O 1.69-1.74
O 0.0366 0.3783 0.7095  1 As 1.74
O 0.1195 0.1195 0.1195  1 As 1.69
O 0.2905 0.9634 0.6217  1 As 1.74
O 0.3783 0.7095 0.0366  1 As 1.74
O 0.6217 0.2905 0.9634  1 As 1.74
O 0.7095 0.0366 0.3783  1 As 1.74
O 0.8805 0.8805 0.8805  1 As 1.69
O 0.9634 0.6217 0.2905  1 As 1.74